No. 1
DFT (meta-GGA SCAN) results for a crystal of TePCl2F relaxed with PBEsol.

abc: 3.557 5.334 5.334
angles: 90.00 90.00 90.00
Fractional positions:
Cl 0.000 0.000 0.500
Cl 0.000 0.500 0.000
P 0.500 0.000 0.000
F 0.000 0.000 0.000
Te 0.500 0.500 0.500

Crystal system   tetragonal
Mass density   4.08 g cm⁻³
Density of states at the Fermi level   3.92 states/eV/f.u.
Symmetry   P4/mmm, No. 123
Energy   -66.3 eV/cell
Formation energy (no corrections)   82 kJ/mol of formula units
Magnetic moment   0.0 μB per formula unit

No. 2
DFT (meta-GGA SCAN) results for a crystal of CsFeCl3 relaxed with PBEsol.

abc: 5.723 7.213 7.213
angles: 120.00 90.00 90.00
Each line ends with the local moment (μB).
Fractional positions:
Cl 0.750 0.684 0.842  0.09
Cl 0.250 0.842 0.158  0.09
Cl 0.750 0.158 0.842  0.09
Cl 0.750 0.158 0.316  0.09
Cl 0.250 0.842 0.684  0.09
Cl 0.250 0.316 0.158  0.09
Fe 0.500 0.000 0.000  3.59
Fe 0.000 0.000 0.000  3.59
Cs 0.250 0.333 0.667  0.00
Cs 0.750 0.667 0.333  0.00

Crystal system   hexagonal
Mass density   3.80 g cm⁻³
Density of states at the Fermi level   3.13 states/eV/f.u.
Symmetry   P6_3/mmc, No. 194
Energy   -175.4 eV/cell
Formation energy (no corrections)   -757 kJ/mol of formula units
Magnetic moment   4.0 μB per formula unit

No. 3
DFT (meta-GGA SCAN) results for a crystal of LiSi2Ru relaxed with PBEsol.

abc: 2.844 2.844 8.262
angles: 80.09 80.09 60.00
Fractional positions:
Ru 0.000 0.000 0.000
Si 0.742 0.742 0.773
Si 0.258 0.258 0.227
Li 0.500 0.500 0.500

Crystal system   trigonal
Mass density   4.81 g cm⁻³
Density of states at the Fermi level   1.86 states/eV/f.u.
Offset from the most stable computed form   97.8 meV per atom
Symmetry   R-3m, No. 166
Energy   -58.1 eV/cell
Formation energy (no corrections)   -83 kJ/mol of formula units
Magnetic moment   0.0 μB per formula unit

No. 4
DFT (meta-GGA SCAN) results for a crystal of Cd7Cu relaxed with PBEsol.

abc: 6.035 6.035 6.035
angles: 60.00 60.00 60.00
Fractional positions:
Cd 0.000 0.500 0.000
Cd 0.500 0.500 0.000
Cd 0.000 0.500 0.500
Cd 0.500 0.500 0.500
Cd 0.500 0.000 0.000
Cd 0.000 0.000 0.500
Cd 0.500 0.000 0.500
Cu 0.000 0.000 0.000

Crystal system   cubic
Mass density   9.09 g cm⁻³
Density of states at the Fermi level   2.56 states/eV/f.u.
ΔE_f   90 meV/atom
Symmetry   Fm-3m, No. 225
Energy   -227.4 eV/cell
Magnetic moment   0.0 μB per formula unit

No. 5
DFT (meta-GGA SCAN) results for a crystal of KLaAs2 relaxed with PBEsol.

abc: 4.090 4.068 7.465
angles: 90.04 105.90 90.00
Fractional positions:
K 0.449 0.375 0.897
As 0.095 0.875 0.190
As 0.268 0.875 0.535
La 0.689 0.375 0.377

Crystal system   orthorhombic
Mass density   4.56 g cm⁻³
Density of states at the Fermi level   1.00 states/eV/f.u.
ΔE_f   -1024 meV/atom
Symmetry   Amm2, No. 38
Energy   -95.9 eV/cell
Magnetic moment   0.0 μB per formula unit

No. 6
DFT (meta-GGA SCAN) results for a crystal of AlMo4Pt relaxed with PBEsol.

abc: 5.126 5.126 5.126
angles: 60.00 60.00 60.00
Fractional positions:
Mo 0.878 0.374 0.374
Mo 0.374 0.878 0.374
Mo 0.374 0.374 0.374
Mo 0.374 0.374 0.878
Pt 0.750 0.750 0.750
Al 0.000 0.000 0.000

Crystal system   cubic
Mass density   10.56 g cm⁻³
Density of states at the Fermi level   4.19 states/eV/f.u.
ΔE_f   215 meV/atom
Symmetry   F-43m, No. 216
Energy   -216.2 eV/cell
Magnetic moment   0.0 μB per formula unit

No. 7
DFT (meta-GGA SCAN) results for a crystal of BaMgP2O7 relaxed with PBEsol.

abc: 5.481 8.565 12.753
angles: 90.00 91.46 90.00
Fractional positions:
P 0.212 0.184 0.519
P 0.712 0.316 0.019
P 0.788 0.816 0.481
P 0.229 0.938 0.831
P 0.288 0.684 0.981
P 0.729 0.562 0.331
P 0.271 0.438 0.669
P 0.771 0.062 0.169
O 0.544 0.637 0.253
O 0.483 0.902 0.791
O 0.283 0.077 0.611
O 0.168 0.108 0.846
O 0.668 0.392 0.346
O 0.199 0.858 0.945
O 0.044 0.863 0.753
O 0.935 0.188 0.501
O 0.983 0.598 0.291
O 0.517 0.098 0.209
O 0.332 0.608 0.654
O 0.717 0.923 0.389
O 0.435 0.312 0.001
O 0.065 0.812 0.499
O 0.017 0.402 0.709
O 0.649 0.846 0.581
O 0.217 0.577 0.889
O 0.956 0.137 0.247
O 0.149 0.654 0.081
O 0.565 0.688 0.999
O 0.801 0.142 0.055
O 0.699 0.642 0.445
O 0.832 0.892 0.154
O 0.783 0.423 0.111
O 0.851 0.346 0.919
O 0.301 0.358 0.555
O 0.456 0.363 0.747
O 0.351 0.154 0.419
Ba 0.238 0.875 0.298
Ba 0.738 0.625 0.798
Ba 0.762 0.125 0.702
Ba 0.262 0.375 0.202
Mg 0.709 0.165 0.375
Mg 0.791 0.665 0.125
Mg 0.209 0.335 0.875
Mg 0.291 0.835 0.625

Crystal system   monoclinic
Mass density   3.72 g cm⁻³
Density of states at the Fermi level   0.00 states/eV/f.u.
Symmetry   P2_1/c, No. 14
Energy   -566.0 eV/cell
Formation energy (no corrections)   -3141 kJ/mol of formula units
Magnetic moment   0.0 μB per formula unit

No. 8
DFT (meta-GGA SCAN) results for a crystal of LiLaSb relaxed with PBEsol.

abc: 3.737 3.737 6.103
angles: 107.83 107.83 90.00
Each line ends with the local moment (μB).
Fractional positions:
Sb 0.302 0.302 0.604  -0.04
La 0.995 0.995 0.990  0.50
Li 0.703 0.703 0.406  0.04

Crystal system   tetragonal
Mass density   5.79 g cm⁻³
Density of states at the Fermi level   1.58 states/eV/f.u.
Offset from the most stable computed form   469.7 meV per atom
Symmetry   I4mm, No. 107
Energy   -84.4 eV/cell
Formation energy (no corrections)   -162 kJ/mol of formula units
Magnetic moment   1.4 μB per formula unit

No. 9
DFT (meta-GGA SCAN) results for a crystal of TeMo2W relaxed with PBEsol.

abc: 4.537 4.537 4.537
angles: 60.00 60.00 60.00
Each line ends with the local moment (μB).
Fractional positions:
Mo 0.750 0.750 0.750  0.00
Mo 0.000 0.000 0.000  0.68
Te 0.500 0.500 0.500  0.04
W 0.250 0.250 0.250  -0.02

Crystal system   cubic
Mass density   12.65 g cm⁻³
Density of states at the Fermi level   3.66 states/eV/f.u.
Symmetry   F-43m, No. 216
Energy   -174.3 eV/cell
Formation energy (no corrections)   235 kJ/mol of formula units
Magnetic moment   0.8 μB per formula unit

No. 10
DFT (meta-GGA SCAN) results for a crystal of Ba3MnTl relaxed with PBEsol.

abc: 6.526 6.526 6.526
angles: 90.00 90.00 90.00
Each line ends with the local moment (μB).
Fractional positions:
Ba 0.500 0.000 0.000  -0.07
Ba 0.000 0.000 0.500  -0.07
Ba 0.000 0.500 0.000  -0.07
Tl 0.000 0.000 0.000  -0.05
Mn 0.500 0.500 0.500  -4.84

Crystal system   cubic
Mass density   4.01 g cm⁻³
Density of states at the Fermi level   9.05 states/eV/f.u.
ΔE_f   237 meV/atom
Symmetry   Pm-3m, No. 221
Energy   -208.1 eV/cell
Magnetic moment   6.9 μB per formula unit

No. 11
DFT (meta-GGA SCAN) results for a crystal of MnGaS3 relaxed with PBEsol.

abc: 4.498 4.498 4.498
angles: 90.00 90.00 90.00
Each line ends with the local moment (μB).
Fractional positions:
S 0.000 0.500 0.000  -0.01
S 0.500 0.000 0.000  -0.01
S 0.000 0.000 0.500  -0.01
Mn 0.000 0.000 0.000  3.11
Ga 0.500 0.500 0.500  -0.03

Crystal system   cubic
Mass density   4.03 g cm⁻³
Density of states at the Fermi level   4.45 states/eV/f.u.
Symmetry   Pm-3m, No. 221
Energy   -63.7 eV/cell
Formation energy (no corrections)   -17 kJ/mol of formula units
Magnetic moment   3.2 μB per formula unit

No. 12
DFT (meta-GGA SCAN) results for a crystal of AgTe2 relaxed with PBEsol.

abc: 4.308 4.308 11.134
angles: 90.00 90.00 120.00
Fractional positions:
Ag 0.000 0.000 0.000
Ag 0.000 0.000 0.500
Te 0.333 0.667 0.873
Te 0.667 0.333 0.127
Te 0.333 0.667 0.627
Te 0.667 0.333 0.373

Crystal system   hexagonal
Mass density   6.74 g cm⁻³
Density of states at the Fermi level   1.40 states/eV/f.u.
Symmetry   P6_3/mmc, No. 194
Energy   -211.7 eV/cell
Formation energy (no corrections)   2 kJ/mol of formula units
Magnetic moment   0.0 μB per formula unit

No. 13
DFT (meta-GGA SCAN) results for a crystal of CrRhCl2 relaxed with PBEsol.

abc: 3.425 3.293 6.908
angles: 90.00 90.00 121.33
Each line ends with the local moment (μB).
Fractional positions:
Cl 0.000 0.000 0.745  0.06
Cl 0.000 0.000 0.255  0.06
Cr 0.500 0.000 0.500  4.07
Rh 0.500 0.000 0.000  1.16

Crystal system   orthorhombic
Mass density   5.63 g cm⁻³
Density of states at the Fermi level   1.68 states/eV/f.u.
Offset from the most stable computed form   366.8 meV per atom
Symmetry   Cmmm, No. 65
Energy   -68.4 eV/cell
Formation energy (no corrections)   -25 kJ/mol of formula units
Magnetic moment   5.8 μB per formula unit

No. 14
DFT (meta-GGA SCAN) results for a crystal of MnAu2 relaxed with PBEsol.

abc: 4.064 5.658 8.377
angles: 90.00 90.00 90.00
Each line ends with the local moment (μB).
Fractional positions:
Au 0.250 0.596 0.264  0.04
Au 0.250 0.650 0.925  0.06
Au 0.750 0.904 0.764  0.04
Au 0.250 0.096 0.236  0.04
Au 0.750 0.350 0.075  0.06
Au 0.750 0.404 0.736  0.04
Au 0.750 0.850 0.425  0.06
Au 0.250 0.150 0.575  0.06
Mn 0.250 0.649 0.591  4.17
Mn 0.250 0.149 0.909  4.17
Mn 0.750 0.851 0.091  4.17
Mn 0.750 0.351 0.409  4.17

Crystal system   orthorhombic
Mass density   15.48 g cm⁻³
Density of states at the Fermi level   0.84 states/eV/f.u.
Offset from the most stable computed form   71.4 meV per atom
ΔE_f   -367 meV/atom
Symmetry   Pnma, No. 62
Energy   -630.7 eV/cell
Magnetic moment   4.3 μB per formula unit

No. 15
DFT (meta-GGA SCAN) results for a crystal of MgPbN2 relaxed with PBEsol.

abc: 4.142 4.142 4.142
angles: 60.00 60.00 60.00
Each line ends with the local moment (μB).
Fractional positions:
Mg 0.000 0.000 0.000  -0.01
Pb 0.500 0.500 0.500  0.02
N 0.750 0.750 0.750  0.41
N 0.250 0.250 0.250  0.41

Crystal system   cubic
Mass density   8.57 g cm⁻³
Density of states at the Fermi level   2.28 states/eV/f.u.
Symmetry   Fm-3m, No. 225
Energy   -95.3 eV/cell
Formation energy (no corrections)   388 kJ/mol of formula units
Magnetic moment   1.1 μB per formula unit

No. 16
DFT (meta-GGA SCAN) results for a crystal of LaInHg2 relaxed with PBEsol.

abc: 3.276 4.903 6.306
angles: 90.00 90.00 90.00
Fractional positions:
Hg 0.500 0.000 0.745
Hg 0.500 0.000 0.255
La 0.000 0.500 0.500
In 0.500 0.500 0.000

Crystal system   orthorhombic
Mass density   10.74 g cm⁻³
Density of states at the Fermi level   2.46 states/eV/f.u.
Offset from the most stable computed form   140.5 meV per atom
ΔE_f   -472 meV/atom
Symmetry   Pmmm, No. 47
Energy   -214.7 eV/cell
Magnetic moment   0.0 μB per formula unit

No. 17
DFT (meta-GGA SCAN) results for a crystal of BaMgPt3 relaxed with PBEsol.

abc: 4.796 4.796 4.796
angles: 90.00 90.00 90.00
Fractional positions:
Pt 0.500 0.000 0.000
Pt 0.000 0.000 0.500
Pt 0.000 0.500 0.000
Mg 0.000 0.000 0.000
Ba 0.500 0.500 0.500

Crystal system   cubic
Mass density   11.24 g cm⁻³
Density of states at the Fermi level   2.20 states/eV/f.u.
ΔE_f   -84 meV/atom
Symmetry   Pm-3m, No. 221
Energy   -255.5 eV/cell
Magnetic moment   0.0 μB per formula unit

No. 18
DFT (meta-GGA SCAN) results for a crystal of AgAsSe2 relaxed with PBEsol.

abc: 3.721 3.860 6.274
angles: 91.12 107.25 90.00
Fractional positions:
Se 0.234 0.402 0.468
Se 0.974 0.870 0.948
Ag 0.518 0.370 0.035
As 0.774 0.859 0.549

Crystal system   monoclinic
Mass density   6.57 g cm⁻³
Density of states at the Fermi level   0.44 states/eV/f.u.
Symmetry   Cm, No. 8
Energy   -91.9 eV/cell
Formation energy (no corrections)   -18 kJ/mol of formula units
Magnetic moment   0.0 μB per formula unit

No. 19
DFT (meta-GGA SCAN) results for a crystal of K2YPb relaxed with PBEsol.

abc: 3.640 6.180 6.517
angles: 90.00 90.00 90.00
Each line ends with the local moment (μB).
Fractional positions:
Pb 0.500 0.500 0.000  -0.02
K 0.000 0.000 0.233  0.03
K 0.000 0.000 0.767  0.03
Y 0.500 0.500 0.500  0.44

Crystal system   orthorhombic
Mass density   4.24 g cm⁻³
Density of states at the Fermi level   2.54 states/eV/f.u.
ΔE_f   110 meV/atom
Symmetry   Pmmm, No. 47
Energy   -119.8 eV/cell
Magnetic moment   1.1 μB per formula unit

No. 20
DFT (meta-GGA SCAN) results for a crystal of Na2Al2Si relaxed with PBEsol.

abc: 5.098 6.596 6.596
angles: 90.00 90.00 90.00
Fractional positions:
Na 0.500 0.674 0.826
Na 0.500 0.174 0.674
Na 0.500 0.326 0.174
Na 0.500 0.826 0.326
Si 0.000 0.500 0.500
Si 0.000 0.000 0.000
Al 0.000 0.139 0.361
Al 0.000 0.361 0.861
Al 0.000 0.639 0.139
Al 0.000 0.861 0.639

Crystal system   tetragonal
Mass density   1.92 g cm⁻³
Density of states at the Fermi level   1.80 states/eV/f.u.
Symmetry   P4/mbm, No. 127
Energy   -66.4 eV/cell
Formation energy (no corrections)   70 kJ/mol of formula units
Magnetic moment   0.0 μB per formula unit

No. 21
DFT (meta-GGA SCAN) results for a crystal of YTa2Cd relaxed with PBEsol.

abc: 3.339 4.762 5.926
angles: 113.69 106.36 90.00
Fractional positions:
Ta 0.738 0.738 0.475
Ta 0.262 0.262 0.525
Y 0.500 0.000 0.000
Cd 0.000 0.500 0.000

Crystal system   orthorhombic
Mass density   11.39 g cm⁻³
Density of states at the Fermi level   3.25 states/eV/f.u.
ΔE_f   332 meV/atom
Symmetry   Immm, No. 71
Energy   -190.1 eV/cell
Magnetic moment   0.0 μB per formula unit

No. 22
DFT (meta-GGA SCAN) results for a crystal of BaTl2Cl relaxed with PBEsol.

abc: 3.959 5.927 5.910
angles: 90.00 90.00 90.00
Fractional positions:
Tl 0.000 0.252 0.000
Tl 0.000 0.748 0.000
Cl 0.500 0.000 0.500
Ba 0.500 0.500 0.500

Crystal system   orthorhombic
Mass density   6.96 g cm⁻³
Density of states at the Fermi level   1.91 states/eV/f.u.
Offset from the most stable computed form   221.0 meV per atom
Symmetry   Pmmm, No. 47
Energy   -195.4 eV/cell
Formation energy (no corrections)   -307 kJ/mol of formula units
Magnetic moment   0.0 μB per formula unit

No. 23
DFT (meta-GGA SCAN) results for a crystal of TiSnF3 relaxed with PBEsol.

abc: 4.169 4.169 4.169
angles: 90.00 90.00 90.00
Each line ends with the local moment (μB).
Fractional positions:
Sn 0.500 0.500 0.500  0.36
F 0.000 0.000 0.500  0.04
F 0.500 0.000 0.000  0.04
F 0.000 0.500 0.000  0.04
Ti 0.000 0.000 0.000  1.52

Crystal system   cubic
Mass density   5.12 g cm⁻³
Density of states at the Fermi level   5.53 states/eV/f.u.
Symmetry   Pm-3m, No. 221
Energy   -73.4 eV/cell
Formation energy (no corrections)   -1044 kJ/mol of formula units
Magnetic moment   2.5 μB per formula unit

No. 24
DFT (meta-GGA SCAN) results for a crystal of MgPHS2 relaxed with PBEsol.

abc: 3.137 4.686 4.686
angles: 90.00 90.00 90.00
Fractional positions:
S 0.000 0.000 0.500
S 0.000 0.500 0.000
Mg 0.500 0.500 0.500
P 0.500 0.000 0.000
H 0.000 0.000 0.000

Crystal system   tetragonal
Mass density   2.90 g cm⁻³
Density of states at the Fermi level   1.25 states/eV/f.u.
Symmetry   P4/mmm, No. 123
Energy   -37.1 eV/cell
Magnetic moment   0.0 μB per formula unit

No. 25
DFT (meta-GGA SCAN) results for a crystal of BaSr4Pb relaxed with PBEsol.

abc: 7.401 7.401 7.401
angles: 60.00 60.00 60.00
Each line ends with the local moment (μB).
Fractional positions:
Sr 0.374 0.374 0.374  -0.06
Sr 0.374 0.878 0.374  -0.06
Sr 0.374 0.374 0.878  -0.06
Sr 0.878 0.374 0.374  -0.06
Ba 0.750 0.750 0.750  -0.14
Pb 0.000 0.000 0.000  -0.01

Crystal system   cubic
Mass density   4.03 g cm⁻³
Density of states at the Fermi level   5.95 states/eV/f.u.
ΔE_f   142 meV/atom
Symmetry   F-43m, No. 216
Energy   -203.6 eV/cell
Magnetic moment   1.6 μB per formula unit

No. 26
DFT (meta-GGA SCAN) results for a crystal of TiAl relaxed with PBEsol.

abc: 2.791 2.791 4.040
angles: 90.00 90.00 90.00
Fractional positions:
Al 0.000 0.000 0.000
Ti 0.500 0.500 0.500

Crystal system   tetragonal
Mass density   3.95 g cm⁻³
Density of states at the Fermi level   1.62 states/eV/f.u.
ΔE_f   -436 meV/atom
Symmetry   P4/mmm, No. 123
Energy   -24.7 eV/cell
Magnetic moment   0.0 μB per formula unit